Entry 1:
! GGA-PBE Ba3YAs, relaxed; values from VASP
! Energy of formation from the pure elements, eV/atom: -0.147
! Space group: Pm-3m (221)
! Relative energy among the computed polymorphs, meV per atom: 0
&SYSTEM
  ibrav = 0, nat = 5, ntyp = 3
/
ATOMIC_SPECIES
Ba 137.33 Ba.upf
Y 88.91 Y.upf
As 74.92 As.upf
ATOMIC_POSITIONS angstrom
Ba 0.000 0.000 3.197
Ba 0.000 3.197 0.000
Ba 3.197 0.000 0.000
Y 3.197 3.197 3.197
As 0.000 0.000 0.000
CELL_PARAMETERS angstrom
6.395 0.000 0.000
0.000 6.395 0.000
0.000 0.000 6.395


Entry 2:
! GGA-PBE MgPaGaGe, relaxed; values from VASP
! Energy of formation from the pure elements, eV/atom: -0.308
! Space group: Pmmm (47)
! Relative energy among the computed polymorphs, meV per atom: 0
&SYSTEM
  ibrav = 0, nat = 4, ntyp = 4
/
ATOMIC_SPECIES
Mg 24.30 Mg.upf
Pa 231.04 Pa.upf
Ga 69.72 Ga.upf
Ge 72.64 Ge.upf
ATOMIC_POSITIONS angstrom
Mg 0.000 0.000 0.000
Pa 0.000 2.219 2.316
Ga 2.024 2.219 0.000
Ge 2.024 0.000 2.316
CELL_PARAMETERS angstrom
4.048 0.000 0.000
0.000 4.438 0.000
0.000 0.000 4.631


Entry 3:
! GGA-PBE Ce3Ni2Bi3, relaxed; values from VASP
! Energy of formation from the pure elements, eV/atom: -0.496
! Space group: P-1 (2)
&SYSTEM
  ibrav = 0, nat = 8, ntyp = 3
/
ATOMIC_SPECIES
Ce 140.12 Ce.upf
Ni 58.69 Ni.upf
Bi 208.98 Bi.upf
ATOMIC_POSITIONS angstrom
Ce 0.000 0.000 0.000
Ce 0.002 2.520 2.841
Ce 2.214 0.270 6.511
Ni 0.005 0.438 4.810
Ni 2.211 2.353 4.542
Bi 0.001 2.776 6.296
Bi 2.212 2.432 0.000
Bi 2.215 0.015 3.056
CELL_PARAMETERS angstrom
4.424 0.000 0.000
0.000 4.864 0.000
-2.208 -2.073 9.352


Entry 4:
! GGA-PBE NdErTlRh, relaxed; values from VASP
! Energy of formation from the pure elements, eV/atom: -0.438
! Space group: F-43m (216)
! Relative energy among the computed polymorphs, meV per atom: 137
&SYSTEM
  ibrav = 0, nat = 4, ntyp = 4
/
ATOMIC_SPECIES
Nd 144.24 Nd.upf
Er 167.26 Er.upf
Tl 204.38 Tl.upf
Rh 102.91 Rh.upf
ATOMIC_POSITIONS angstrom
Nd 0.000 0.000 0.000
Er 3.664 3.664 3.664
Tl 5.496 5.496 5.496
Rh 1.832 1.832 1.832
CELL_PARAMETERS angstrom
0.000 3.664 3.664
3.664 0.000 3.664
3.664 3.664 0.000


Entry 5:
! GGA-PBE FeCuRh2, relaxed; values from VASP
! Energy of formation from the pure elements, eV/atom: 0.045
! Space group: Pmm2 (25)
&SYSTEM
  ibrav = 0, nat = 4, ntyp = 3
/
ATOMIC_SPECIES
Fe 55.84 Fe.upf
Cu 63.55 Cu.upf
Rh 102.91 Rh.upf
ATOMIC_POSITIONS angstrom
Fe 0.000 0.000 0.000
Cu 1.346 1.871 4.002
Rh 0.000 0.000 2.718
Rh 1.346 1.871 1.299
CELL_PARAMETERS angstrom
2.691 0.000 0.000
0.000 3.742 0.000
0.000 0.000 5.289


Entry 6:
! GGA-PBE LaPr3Mg, relaxed; values from VASP
! Energy of formation from the pure elements, eV/atom: 0.057
! Space group: C2/m (12)
! Relative energy among the computed polymorphs, meV per atom: 0
&SYSTEM
  ibrav = 0, nat = 10, ntyp = 3
/
ATOMIC_SPECIES
La 138.91 La.upf
Pr 140.91 Pr.upf
Mg 24.30 Mg.upf
ATOMIC_POSITIONS angstrom
La 2.531 0.000 1.054
La 17.103 0.000 7.695
Pr 2.912 0.000 7.153
Pr 5.787 0.000 4.796
Pr 9.664 0.000 1.783
Pr 9.970 0.000 6.965
Pr 13.847 0.000 3.953
Pr 16.722 0.000 1.596
Mg 0.549 0.000 4.303
Mg 19.085 0.000 4.445
CELL_PARAMETERS angstrom
10.692 -1.843 0.000
10.692 1.843 0.000
-1.749 0.000 8.749


Entry 7:
! GGA-PBE Sm2HoF, relaxed; values from VASP
! Space group: R-3m (166)
&SYSTEM
  ibrav = 0, nat = 4, ntyp = 3
/
ATOMIC_SPECIES
Sm 150.36 Sm.upf
Ho 164.93 Ho.upf
F 19.00 F.upf
ATOMIC_POSITIONS angstrom
Sm 0.000 0.000 5.745
Sm 0.000 0.000 19.978
Ho 0.000 0.000 0.000
F 0.000 0.000 12.862
CELL_PARAMETERS angstrom
1.873 1.082 8.574
-1.873 1.082 8.574
0.000 -2.163 8.574


Entry 8:
! GGA-PBE Pt2WSe, relaxed; values from VASP
! Space group: P4/mmm (123)
&SYSTEM
  ibrav = 0, nat = 4, ntyp = 3
/
ATOMIC_SPECIES
Pt 195.08 Pt.upf
W 183.84 W.upf
Se 78.96 Se.upf
ATOMIC_POSITIONS angstrom
Pt 0.000 1.913 0.000
Pt 1.913 0.000 0.000
W 0.000 0.000 2.215
Se 1.913 1.913 2.215
CELL_PARAMETERS angstrom
3.825 0.000 0.000
0.000 3.825 0.000
0.000 0.000 4.430


Entry 9:
! GGA-PBE Sc11In9Hg4, relaxed; values from VASP
! Energy of formation from the pure elements, eV/atom: -0.393
! Space group: Cmmm (65)
&SYSTEM
  ibrav = 0, nat = 24, ntyp = 3
/
ATOMIC_SPECIES
Sc 44.96 Sc.upf
In 114.82 In.upf
Hg 200.59 Hg.upf
ATOMIC_POSITIONS angstrom
Sc 0.000 0.000 0.000
Sc 3.254 3.998 0.000
Sc 7.216 7.192 0.000
Sc 3.526 0.000 0.000
Sc 7.216 2.791 0.000
Sc 3.254 -3.998 0.000
Sc 11.179 3.998 0.000
Sc 7.216 -2.791 0.000
Sc 10.907 0.000 0.000
Sc 7.216 -7.192 0.000
Sc 11.179 -3.998 0.000
In 1.683 1.946 1.682
In 5.650 5.077 1.682
In 1.683 -1.946 1.682
In 8.782 5.077 1.682
In 7.216 0.000 1.682
In 5.650 -5.077 1.682
In 12.750 1.946 1.682
In 8.782 -5.077 1.682
In 12.750 -1.946 1.682
Hg 4.855 2.080 1.682
Hg 4.855 -2.080 1.682
Hg 9.578 2.080 1.682
Hg 9.578 -2.080 1.682
CELL_PARAMETERS angstrom
7.216 -11.131 0.000
7.216 11.131 0.000
0.000 0.000 3.364


Entry 10:
! GGA-PBE Sr3InRh, relaxed; values from VASP
! Energy of formation from the pure elements, eV/atom: -0.175
! Space group: Pm-3m (221)
! Relative energy among the computed polymorphs, meV per atom: 82
&SYSTEM
  ibrav = 0, nat = 5, ntyp = 3
/
ATOMIC_SPECIES
Sr 87.62 Sr.upf
In 114.82 In.upf
Rh 102.91 Rh.upf
ATOMIC_POSITIONS angstrom
Sr 0.000 0.000 2.891
Sr 0.000 2.891 0.000
Sr 2.891 0.000 0.000
In 2.891 2.891 2.891
Rh 0.000 0.000 0.000
CELL_PARAMETERS angstrom
5.782 0.000 0.000
0.000 5.782 0.000
0.000 0.000 5.782


Entry 11:
! GGA-PBE KPmBe2O4, relaxed; values from VASP
! Space group: I222 (23)
&SYSTEM
  ibrav = 0, nat = 8, ntyp = 4
/
ATOMIC_SPECIES
K 39.10 K.upf
Pm 145.00 Pm.upf
Be 9.01 Be.upf
O 16.00 O.upf
ATOMIC_POSITIONS angstrom
K 0.000 0.000 0.000
Pm 0.000 0.000 3.417
Be 2.775 0.000 1.975
Be 0.000 3.011 1.441
O 1.153 2.127 -1.381
O 1.622 0.884 2.035
O 1.622 -0.884 4.798
O 1.153 3.895 1.381
CELL_PARAMETERS angstrom
-2.775 3.011 3.417
2.775 -3.011 3.417
2.775 3.011 -3.417


Entry 12:
! GGA-PBE LiMn2HgC, relaxed; values from VASP
! Energy of formation from the pure elements, eV/atom: 1.890
! Space group: P4/mmm (123)
&SYSTEM
  ibrav = 0, nat = 5, ntyp = 4
/
ATOMIC_SPECIES
Li 6.94 Li.upf
Mn 54.94 Mn.upf
Hg 200.59 Hg.upf
C 12.01 C.upf
ATOMIC_POSITIONS angstrom
Li 0.000 0.000 0.000
Mn 0.000 2.182 0.000
Mn 2.182 0.000 0.000
Hg 0.000 0.000 2.203
C 2.182 2.182 2.203
CELL_PARAMETERS angstrom
4.365 0.000 0.000
0.000 4.365 0.000
0.000 0.000 4.406


Entry 13:
! GGA-PBE PmDyHoTl, relaxed; values from VASP
! Energy of formation from the pure elements, eV/atom: -0.184
! Space group: Pmmm (47)
! Relative energy among the computed polymorphs, meV per atom: 0
&SYSTEM
  ibrav = 0, nat = 4, ntyp = 4
/
ATOMIC_SPECIES
Pm 145.00 Pm.upf
Dy 162.50 Dy.upf
Ho 164.93 Ho.upf
Tl 204.38 Tl.upf
ATOMIC_POSITIONS angstrom
Pm 0.000 0.000 0.000
Dy 2.423 2.448 0.000
Ho 2.423 0.000 2.454
Tl 0.000 2.448 2.454
CELL_PARAMETERS angstrom
4.847 0.000 0.000
0.000 4.897 0.000
0.000 0.000 4.908


Entry 14:
! GGA-PBE Na2GeSe2, relaxed; values from VASP
! Space group: Cmc2_1 (36)
! Relative energy among the computed polymorphs, meV per atom: 0
&SYSTEM
  ibrav = 0, nat = 10, ntyp = 3
/
ATOMIC_SPECIES
Na 22.99 Na.upf
Ge 72.64 Ge.upf
Se 78.96 Se.upf
ATOMIC_POSITIONS angstrom
Na 1.952 9.774 3.150
Na 1.952 6.400 4.583
Na 1.952 -6.400 1.433
Na 1.952 -9.774 0.000
Ge 1.952 2.261 4.359
Ge 1.952 -2.261 1.209
Se 1.952 6.294 1.391
Se 1.952 1.612 1.949
Se 1.952 -1.612 5.099
Se 1.952 -6.294 4.541
CELL_PARAMETERS angstrom
1.952 -10.240 0.000
1.952 10.240 0.000
0.000 0.000 6.300


Entry 15:
! GGA-PBE Cd2SnPd3, relaxed; values from VASP
! Energy of formation from the pure elements, eV/atom: -0.444
! Space group: Cmmm (65)
! Relative energy among the computed polymorphs, meV per atom: 0
&SYSTEM
  ibrav = 0, nat = 6, ntyp = 3
/
ATOMIC_SPECIES
Cd 112.41 Cd.upf
Sn 118.71 Sn.upf
Pd 106.42 Pd.upf
ATOMIC_POSITIONS angstrom
Cd 2.316 4.560 0.000
Cd 2.316 -4.560 0.000
Sn 2.316 0.000 0.000
Pd 0.000 0.000 1.647
Pd 2.316 2.189 1.647
Pd 2.316 -2.189 1.647
CELL_PARAMETERS angstrom
2.316 -7.002 0.000
2.316 7.002 0.000
0.000 0.000 3.294


Entry 16:
! GGA-PBE ZrSc3O6, relaxed; values from VASP
! Space group: P2_1/m (11)
&SYSTEM
  ibrav = 0, nat = 20, ntyp = 3
/
ATOMIC_SPECIES
Zr 91.22 Zr.upf
Sc 44.96 Sc.upf
O 16.00 O.upf
ATOMIC_POSITIONS angstrom
Zr -0.075 0.787 1.616
Zr 6.077 2.360 6.796
Sc -0.050 0.787 4.907
Sc 0.208 2.360 8.335
Sc 2.859 0.787 2.785
Sc 3.142 2.360 5.627
Sc 5.794 0.787 0.077
Sc 6.051 2.360 3.505
O -0.376 2.360 3.431
O -1.503 0.787 8.117
O -0.318 2.360 6.281
O 1.669 2.360 1.883
O 2.000 0.787 4.767
O 3.735 0.787 0.897
O 2.267 2.360 7.515
O 4.001 2.360 3.645
O 4.333 0.787 6.529
O 6.320 0.787 2.130
O 7.505 2.360 0.295
O 6.378 0.787 4.981
CELL_PARAMETERS angstrom
8.582 0.000 0.000
0.000 3.147 0.000
-2.580 0.000 8.412


Entry 17:
! GGA-PBE PmNdPa4, relaxed; values from VASP
! Energy of formation from the pure elements, eV/atom: 0.246
! Space group: F-43m (216)
&SYSTEM
  ibrav = 0, nat = 6, ntyp = 3
/
ATOMIC_SPECIES
Pm 145.00 Pm.upf
Nd 144.24 Nd.upf
Pa 231.04 Pa.upf
ATOMIC_POSITIONS angstrom
Pm 0.000 0.000 0.000
Nd 6.564 6.564 6.564
Pa 3.282 3.282 3.282
Pa 5.470 5.470 3.282
Pa 5.470 3.282 5.470
Pa 3.282 5.470 5.470
CELL_PARAMETERS angstrom
0.000 4.376 4.376
4.376 0.000 4.376
4.376 4.376 0.000


Entry 18:
! GGA-PBE NiMo2Br, relaxed; values from VASP
! Space group: P4mm (99)
! Relative energy among the computed polymorphs, meV per atom: 87
&SYSTEM
  ibrav = 0, nat = 4, ntyp = 3
/
ATOMIC_SPECIES
Ni 58.69 Ni.upf
Mo 95.94 Mo.upf
Br 79.90 Br.upf
ATOMIC_POSITIONS angstrom
Ni 0.000 0.000 0.000
Mo 0.000 0.000 3.606
Mo 1.614 1.614 4.958
Br 1.614 1.614 1.500
CELL_PARAMETERS angstrom
3.227 0.000 0.000
0.000 3.227 0.000
0.000 0.000 6.290


Entry 19:
! GGA-PBE ScW2Cl, relaxed; values from VASP
! Space group: Imm2 (44)
! Relative energy among the computed polymorphs, meV per atom: 660
&SYSTEM
  ibrav = 0, nat = 4, ntyp = 3
/
ATOMIC_SPECIES
Sc 44.96 Sc.upf
W 183.84 W.upf
Cl 35.45 Cl.upf
ATOMIC_POSITIONS angstrom
Sc 0.000 0.000 0.000
W 1.659 0.000 2.581
W 0.000 0.000 4.441
Cl 0.000 2.625 2.189
CELL_PARAMETERS angstrom
-1.659 2.625 4.235
1.659 -2.625 4.235
1.659 2.625 -4.235


Entry 20:
! GGA-PBE BaMo4Se, relaxed; values from VASP
! Space group: F-43m (216)
&SYSTEM
  ibrav = 0, nat = 6, ntyp = 3
/
ATOMIC_SPECIES
Ba 137.33 Ba.upf
Mo 95.94 Mo.upf
Se 78.96 Se.upf
ATOMIC_POSITIONS angstrom
Ba 0.000 0.000 0.000
Mo 4.871 2.988 2.988
Mo 2.988 4.871 2.988
Mo 2.988 2.988 4.871
Mo 4.871 4.871 4.871
Se 1.965 1.965 1.965
CELL_PARAMETERS angstrom
0.000 3.930 3.930
3.930 0.000 3.930
3.930 3.930 0.000


| no. | ρ (g/cm³) | raw total energy (eV per atom) |
| --- | --- | --- |
| 1 | 3.7 | -3.52 |
| 2 | 7.9 | -4.99 |
| 3 | 9.6 | -5.62 |
| 4 | 10.4 | -5.20 |
| 5 | 10.1 | -6.77 |
| 6 | 5.6 | -4.12 |
| 7 | 7.7 | -5.11 |
| 8 | 16.7 | -6.70 |
| 9 | 7.2 | -4.37 |
| 10 | 4.1 | -3.20 |
| 11 | 3.9 | -6.46 |
| 12 | 6.5 | -4.07 |
| 13 | 9.6 | -4.26 |
| 14 | 3.6 | -3.57 |
| 15 | 10.3 | -4.01 |
| 16 | 4.7 | -9.08 |
| 17 | 12.0 | -7.67 |
| 18 | 8.4 | -6.84 |
| 19 | 10.1 | -7.96 |
| 20 | 8.2 | -7.20 |